# 1
VASP calculation (GGA-PBE) on crystalline RbNaCr2Ga at its relaxed geometry.

For the formation energy, the calculation gives 16.8 kcal/mol of atoms.

a b c (Å): 5.122 5.122 5.719
angles (deg): 90.00 90.00 90.00
Site moments in Bohr magnetons follow the coordinates.
Atoms (fractional coordinates):
Cr 0.000 0.500 0.000  3.88
Cr 0.500 0.000 0.000  3.88
Na 0.000 0.000 0.500  -0.01
Rb 0.500 0.500 0.500  0.04
Ga 0.000 0.000 0.000  -0.13



# 2
VASP calculation (GGA-PBE) on crystalline Na2CrGaS4 at its relaxed geometry.

The formation energy (no corrections) comes out at -660 kJ/mol of formula units.

a b c (Å): 7.443 7.443 7.438
angles (deg): 119.98 119.98 90.02
Site moments in Bohr magnetons follow the coordinates.
Atoms (fractional coordinates):
Na 0.000 0.000 0.500  0.00
Na 0.500 0.000 0.000  0.00
Na 0.500 0.500 0.000  0.00
Na 0.500 0.000 0.500  0.00
Cr 0.000 0.500 0.000  2.87
Cr 0.000 0.500 0.500  2.87
Ga 0.500 0.500 0.500  0.05
Ga 0.000 0.000 0.000  0.05
S 0.767 0.733 0.976  -0.01
S 0.205 0.729 0.967  -0.07
S 0.767 0.733 0.524  -0.01
S 0.229 0.705 0.467  -0.07
S 0.233 0.267 0.024  -0.01
S 0.771 0.295 0.533  -0.07
S 0.233 0.267 0.476  -0.01
S 0.795 0.271 0.033  -0.07



> Number 1 is which compound?

RbNaCr2Ga